Entry 1:
# La3Pd4, optimized geometry, DFT PBE-GGA
data_La3Pd4
_cell_length_a 8.256
_cell_length_b 8.256
_cell_length_c 8.256
_cell_angle_alpha 114.52
_cell_angle_beta 114.52
_cell_angle_gamma 114.52
_symmetry_space_group_name_H-M 'P 1'
_symmetry_Int_Tables_number 1
_symmetry_space_group_name_Hall 'P 1'
loop_
_atom_site_label
_atom_site_fract_x
_atom_site_fract_y
_atom_site_fract_z
La1 0.720 0.972 0.595
Pd1 0.779 0.446 0.942
Pd2 0.058 0.221 0.554
Pd3 0.000 0.000 0.000
La2 0.028 0.405 0.280
Pd4 0.446 0.942 0.779
Pd5 0.221 0.554 0.058
La3 0.405 0.280 0.028
Pd6 0.554 0.058 0.221
Pd7 0.500 0.500 0.500
La4 0.595 0.720 0.972
Pd8 0.942 0.779 0.446
La5 0.280 0.028 0.405
La6 0.972 0.595 0.720
# Formation energy from the elements: -0.853 eV per atom
# Size of the total moment: 0.0 Bohr magnetons per cell
# VASP energy: -5.920 eV/atom



Entry 2:
# LaPd, optimized geometry, DFT PBE-GGA
data_LaPd
_cell_length_a 4.640
_cell_length_b 4.640
_cell_length_c 4.640
_cell_angle_alpha 60.00
_cell_angle_beta 60.00
_cell_angle_gamma 60.00
_symmetry_space_group_name_H-M 'P 1'
_symmetry_Int_Tables_number 1
_symmetry_space_group_name_Hall 'P 1'
loop_
_atom_site_label
_atom_site_fract_x
_atom_site_fract_y
_atom_site_fract_z
La1 0.000 0.000 0.000
Pd1 0.250 0.250 0.250
# Formation energy from the elements: -0.213 eV per atom
# Size of the total moment: 0.2 Bohr magnetons per cell
# VASP energy: -5.262 eV/atom



Entry 3:
# LaPd3, optimized geometry, DFT PBE-GGA
data_LaPd3
_cell_length_a 4.216
_cell_length_b 4.219
_cell_length_c 4.218
_cell_angle_alpha 90.00
_cell_angle_beta 90.00
_cell_angle_gamma 90.00
_symmetry_space_group_name_H-M 'P 1'
_symmetry_Int_Tables_number 1
_symmetry_space_group_name_Hall 'P 1'
loop_
_atom_site_label
_atom_site_fract_x
_atom_site_fract_y
_atom_site_fract_z
Pd1 0.500 0.500 0.583
Pd2 0.500 0.000 0.083
La1 0.000 0.000 0.583
Pd3 0.000 0.500 0.083
# Formation energy from the elements: -0.820 eV per atom
# Size of the total moment: 0.0 Bohr magnetons per cell
# VASP energy: -5.932 eV/atom



Entry 4:
# LaPrPd, optimized geometry, DFT PBE-GGA
data_LaPrPd
_cell_length_a 5.069
_cell_length_b 5.069
_cell_length_c 5.069
_cell_angle_alpha 60.00
_cell_angle_beta 60.00
_cell_angle_gamma 60.00
_symmetry_space_group_name_H-M 'P 1'
_symmetry_Int_Tables_number 1
_symmetry_space_group_name_Hall 'P 1'
loop_
_atom_site_label
_atom_site_fract_x
_atom_site_fract_y
_atom_site_fract_z
Pr1 0.750 0.750 0.750
Pd1 0.000 0.000 0.000
La1 0.250 0.250 0.250
# Formation energy from the elements: -0.367 eV per atom
# Size of the total moment: 0.6 Bohr magnetons per cell
# VASP energy: -5.324 eV/atom



Entry 5:
# LaPrPd2, optimized geometry, DFT PBE-GGA
data_LaPrPd2
_cell_length_a 3.947
_cell_length_b 4.655
_cell_length_c 5.848
_cell_angle_alpha 90.00
_cell_angle_beta 109.68
_cell_angle_gamma 90.00
_symmetry_space_group_name_H-M 'P 1'
_symmetry_Int_Tables_number 1
_symmetry_space_group_name_Hall 'P 1'
loop_
_atom_site_label
_atom_site_fract_x
_atom_site_fract_y
_atom_site_fract_z
Pd1 0.535 0.000 0.530
Pr1 0.987 0.500 0.434
La1 0.257 0.000 0.976
Pd2 0.709 0.500 0.878
# Formation energy from the elements: -0.818 eV per atom
# Size of the total moment: 0.0 Bohr magnetons per cell
# VASP energy: -5.830 eV/atom



Entry 6:
# LaPr2Si4Pd2Pt2, optimized geometry, DFT PBE-GGA
data_LaPr2Si4Pd2Pt2
_cell_length_a 12.684
_cell_length_b 12.684
_cell_length_c 12.684
_cell_angle_alpha 160.95
_cell_angle_beta 160.50
_cell_angle_gamma 27.39
_symmetry_space_group_name_H-M 'P 1'
_symmetry_Int_Tables_number 1
_symmetry_space_group_name_Hall 'P 1'
loop_
_atom_site_label
_atom_site_fract_x
_atom_site_fract_y
_atom_site_fract_z
Pr1 0.353 0.853 0.500
Si1 0.803 0.303 0.500
Pd1 0.098 0.598 0.500
Pt1 0.248 0.248 0.000
Si2 0.197 0.697 0.500
Pd2 0.902 0.402 0.500
Si3 0.549 0.549 0.000
Si4 0.451 0.451 0.000
Pt2 0.752 0.752 0.000
La1 0.000 0.000 0.000
Pr2 0.647 0.147 0.500
# Size of the total moment: 0.0 Bohr magnetons per cell
# VASP energy: -6.327 eV/atom



Entry 7:
# La2PrSn3PdPt2, optimized geometry, DFT PBE-GGA
data_La2PrSn3PdPt2
_cell_length_a 4.186
_cell_length_b 7.728
_cell_length_c 7.728
_cell_angle_alpha 120.01
_cell_angle_beta 90.00
_cell_angle_gamma 90.00
_symmetry_space_group_name_H-M 'P 1'
_symmetry_Int_Tables_number 1
_symmetry_space_group_name_Hall 'P 1'
loop_
_atom_site_label
_atom_site_fract_x
_atom_site_fract_y
_atom_site_fract_z
Pd1 0.000 0.001 0.001
La1 0.000 0.585 0.000
Pt1 0.500 0.669 0.334
La2 0.000 0.000 0.585
Pt2 0.500 0.334 0.669
Sn1 0.500 0.749 0.749
Sn2 0.500 0.249 0.002
Sn3 0.500 0.002 0.249
Pr1 0.000 0.412 0.412
# Size of the total moment: 0.0 Bohr magnetons per cell
# VASP energy: -5.916 eV/atom



Entry 8:
# La2PrSn3Pd2Pt, optimized geometry, DFT PBE-GGA
data_La2PrSn3Pd2Pt
_cell_length_a 4.194
_cell_length_b 7.707
_cell_length_c 7.707
_cell_angle_alpha 120.03
_cell_angle_beta 90.00
_cell_angle_gamma 90.00
_symmetry_space_group_name_H-M 'P 1'
_symmetry_Int_Tables_number 1
_symmetry_space_group_name_Hall 'P 1'
loop_
_atom_site_label
_atom_site_fract_x
_atom_site_fract_y
_atom_site_fract_z
Pd1 0.500 0.667 0.334
Sn1 0.500 0.749 0.749
Sn2 0.500 0.002 0.250
Pd2 0.500 0.334 0.667
Pt1 0.000 0.000 0.000
La1 0.000 0.000 0.587
Pr1 0.000 0.411 0.411
La2 0.000 0.587 0.000
Sn3 0.500 0.250 0.002
# Size of the total moment: 0.0 Bohr magnetons per cell
# VASP energy: -5.756 eV/atom